VASP calculation (PBE-GGA) on a relaxed Ba2CaIn crystal.

Computed properties:
**DFT formation energy**: -0.50 eV/f.u.
**Volume**: 41.0 Å³/atom
**Energy**: -2.270 eV per atom

a b c (Å): 5.7050 5.7050 10.0676
angles (deg): 90.00 90.00 90.00
Closest atoms and distances in Å follow each position.
Space group I-4m2 (No. 119)
Asymmetric unit:
Ba1 0.0000 0.0000 0.0000 [2 per cell]  4 Ba 3.80, 4 Ca 3.80, 4 In 4.03
Ba2 0.0000 0.5000 0.2500 [2 per cell]  4 Ba 3.80, 4 In 3.80, 4 Ca 4.03
Ca1 0.0000 0.5000 0.7500 [2 per cell]  8 Ba 3.80-4.03, 4 In 3.80
In1 0.0000 0.0000 0.5000 [2 per cell]  8 Ba 3.80-4.03, 4 Ca 3.80